Entry 1:
The following is a PBE calculation of a relaxed structure of La2SbCBr, from the Alexandria database.

a b c (Å): 6.0614 6.0614 5.6656
angles (deg): 90.00 90.00 90.00
Last column: nearest neighbours and their distance in Å.
Sites, in units of the cell vectors:
1 La 0.0000 0.5000 0.0000  2 Sb 3.03
2 La 0.5000 0.0000 0.0000  2 Sb 3.03
3 Sb 0.0000 0.0000 0.0000  2 Br 2.83, 4 La 3.03
4 C 0.5000 0.5000 0.5000  8 La 4.15, 4 Br 4.29
5 Br 0.0000 0.0000 0.5000  2 Sb 2.83

Symmetry: No. 123
ΔE_f (raw): 1.0736 eV per atom


Entry 2:
The following is a PBE calculation of a relaxed structure of BePOs2, from the Alexandria database.

a b c (Å): 2.8842 2.8842 5.7146
angles (deg): 90.00 90.00 90.00
Last column: nearest neighbours and their distance in Å.
Sites, in units of the cell vectors:
1 Be 0.0000 0.0000 0.0000  8 Os 2.49
2 P 0.0000 0.0000 0.5000  8 Os 2.49
3 Os 0.5000 0.5000 0.2487  4 Be 2.49, 4 P 2.49
4 Os 0.5000 0.5000 0.7513  4 Be 2.49, 4 P 2.49

Symmetry: No. 123
Calculated formation energy: -85 meV/atom


Entry 3:
The following is a PBE calculation of a relaxed structure of MgNbTcRh2, from the Alexandria database.

a b c (Å): 4.3431 4.3431 4.5359
angles (deg): 90.00 90.00 90.00
Last column: nearest neighbours and their distance in Å.
Sites, in units of the cell vectors:
1 Mg 0.0000 0.0000 0.0000  4 Rh 2.17, 2 Tc 2.27
2 Nb 0.5000 0.5000 0.5000  4 Tc 3.07, 8 Rh 3.14
3 Tc 0.0000 0.0000 0.5000  2 Mg 2.27
4 Rh 0.0000 0.5000 0.0000  2 Mg 2.17
5 Rh 0.5000 0.0000 0.0000  2 Mg 2.17

Symmetry: No. 123
Calculated formation energy: 1069 meV/atom


The mass density results, record by record, are as follows: 3.9 14.7 8.2 g/cm3.